Version w
Compound: RbCd2In2
Source: Alexandria via LeMat-Bulk
Functional: meta-GGA SCAN
Structure: single point on PBEsol structure

For the density of states at the Fermi level, the calculation gives 0.52 states/eV/atom.

The structure belongs to space group I4/mmm (No. 139); the cell edges are 4.921, 4.921 and 12.002 Å and the angles 90.00°, 90.00° and 90.00°. The inequivalent atoms are Rb at (0.000, 0.000, 0.000), Cd at (0.000, 0.500, 0.250) and In at (0.000, 0.000, 0.379).

***

Version x
Compound: RbCd2In2
Source: Alexandria via LeMat-Bulk
Functional: meta-GGA SCAN
Structure: single point on PBEsol structure

For the density of states at the Fermi level, the calculation gives 0.42 states/eV/atom.

The structure belongs to space group P4/mbm (No. 127); the cell edges are 9.231, 9.231 and 3.174 Å and the angles 90.00°, 90.00° and 90.00°. The inequivalent atoms are Rb at (0.000, 0.000, 0.000), Cd at (0.154, 0.346, 0.500) and In at (0.137, 0.637, 0.000).

***

Most stable structure among those shown: version w.